Computed, not measured: Th2NiC2 at its PBEsol-relaxed geometry at the SCAN level of DFT.

abc: 3.732 3.732 6.619
angles: 106.37 106.37 90.00
Positions (direct):
Ni  0.000  0.000  0.000
C  0.844  0.844  0.688
Th  0.355  0.355  0.710
Th  0.645  0.645  0.290
C  0.156  0.156  0.312

Results
crystal system = tetragonal
density = 10.738 g/cm3
ΔE_f = -0.40 eV/atom
space group = I4/mmm (139)



Computed, not measured: Tm4Ni2C5 at its PBEsol-relaxed geometry at the SCAN level of DFT.

abc: 3.510 3.620 11.348
angles: 90.00 90.00 90.00
Positions (direct):
C  0.000  0.201  0.667
C  0.000  0.998  0.772
C  0.000  0.201  0.333
Ni  0.000  0.701  0.385
Tm  0.500  0.500  0.796
Tm  0.500  0.213  0.500
Tm  0.000  0.996  0.000
Tm  0.500  0.500  0.204
C  0.000  0.998  0.228
C  0.500  0.492  0.000
Ni  0.000  0.701  0.615

Results
crystal system = orthorhombic
density = 9.825 g/cm3
ΔE_f = -0.52 eV/atom
space group = Pmm2 (25)



Computed, not measured: Ni2W4C at its PBEsol-relaxed geometry at the SCAN level of DFT.

abc: 7.926 7.926 7.926
angles: 60.00 60.00 60.00
Positions (direct):
W  0.559  0.941  0.941
C  0.625  0.625  0.125
C  0.625  0.625  0.625
Ni  0.333  0.000  0.333
Ni  0.917  0.917  0.917
C  0.625  0.125  0.625
W  0.559  0.559  0.941
Ni  0.333  0.333  0.000
W  0.125  0.125  0.625
Ni  0.917  0.250  0.917
W  0.125  0.625  0.125
W  0.309  0.691  0.691
Ni  0.917  0.917  0.250
W  0.691  0.309  0.309
W  0.941  0.941  0.559
W  0.941  0.559  0.941
W  0.691  0.691  0.309
Ni  0.333  0.333  0.333
C  0.125  0.625  0.625
W  0.559  0.941  0.559
W  0.691  0.309  0.691
W  0.309  0.691  0.309
W  0.309  0.309  0.691
W  0.941  0.559  0.559
Ni  0.000  0.333  0.333
W  0.125  0.125  0.125
W  0.625  0.125  0.125
Ni  0.250  0.917  0.917

Results
crystal system = cubic
density = 16.311 g/cm3
ΔE_f = -0.03 eV/atom
space group = Fd-3m (227)



Computed, not measured: Ni6W6C at its PBEsol-relaxed geometry at the SCAN level of DFT.

abc: 7.637 7.637 7.637
angles: 60.00 60.00 60.00
Positions (direct):
Ni  0.334  0.334  0.999
C  0.500  0.500  0.500
W  0.300  0.700  0.300
Ni  0.251  0.916  0.916
Ni  0.916  0.916  0.916
Ni  0.334  0.334  0.334
W  0.700  0.300  0.300
Ni  0.999  0.334  0.334
W  0.950  0.950  0.550
W  0.300  0.700  0.700
Ni  0.625  0.125  0.125
W  0.950  0.550  0.550
C  0.750  0.750  0.750
W  0.550  0.550  0.950
Ni  0.916  0.916  0.251
W  0.950  0.550  0.950
W  0.550  0.950  0.950
Ni  0.916  0.251  0.916
W  0.550  0.950  0.550
Ni  0.125  0.625  0.125
Ni  0.334  0.999  0.334
Ni  0.125  0.125  0.125
W  0.300  0.300  0.700
W  0.700  0.300  0.700
Ni  0.125  0.125  0.625
W  0.700  0.700  0.300

Results
crystal system = cubic
density = 15.471 g/cm3
ΔE_f = -0.05 eV/atom
space group = Fd-3m (227)



Computed, not measured: YNiC2 at its PBEsol-relaxed geometry at the SCAN level of DFT.

abc: 3.551 3.713 3.713
angles: 105.78 90.00 90.00
Positions (direct):
Ni  0.500  0.387  0.613
Y  0.000  0.997  0.003
C  0.500  0.851  0.455
C  0.500  0.545  0.149

Results
crystal system = orthorhombic
density = 6.047 g/cm3
ΔE_f = -0.43 eV/atom
space group = Amm2 (38)



Computed, not measured: Y4Ni13C4 at its PBEsol-relaxed geometry at the SCAN level of DFT.

abc: 3.804 8.273 8.273
angles: 91.22 90.00 90.00
Positions (direct):
Ni  0.000  0.570  0.215
Ni  0.000  0.215  0.570
Y  0.500  0.651  0.651
Ni  0.000  0.710  0.926
Ni  0.500  0.877  0.877
C  0.000  0.000  0.500
Ni  0.500  0.500  0.000
Ni  0.000  0.430  0.785
Y  0.500  0.812  0.188
Ni  0.500  0.123  0.123
C  0.000  0.442  0.558
Ni  0.000  0.000  0.000
Y  0.500  0.349  0.349
C  0.000  0.500  0.000
Ni  0.000  0.785  0.430
C  0.000  0.558  0.442
Ni  0.500  0.000  0.500
Y  0.500  0.188  0.812
Ni  0.000  0.290  0.074
Ni  0.000  0.926  0.710
Ni  0.000  0.074  0.290

Results
crystal system = orthorhombic
density = 7.441 g/cm3
ΔE_f = -0.34 eV/atom
space group = Cmmm (65)



Computed, not measured: ZnNi2C2 at its PBEsol-relaxed geometry at the SCAN level of DFT.

abc: 2.590 2.590 6.899
angles: 100.82 100.82 90.00
Positions (direct):
Ni  0.635  0.635  0.270
C  0.750  0.250  0.500
C  0.250  0.750  0.500
Ni  0.365  0.365  0.730
Zn  0.000  0.000  0.000

Results
crystal system = tetragonal
density = 7.700 g/cm3
ΔE_f = 0.86 eV/atom
space group = I4/mmm (139)



Computed, not measured: Zr3NiC at its PBEsol-relaxed geometry at the SCAN level of DFT.

abc: 4.683 4.683 4.683
angles: 90.00 90.00 90.00
Positions (direct):
Zr  0.000  0.500  0.000
Zr  0.000  0.000  0.500
Ni  0.000  0.000  0.000
Zr  0.500  0.000  0.000
C  0.500  0.500  0.500

Results
crystal system = cubic
density = 5.569 g/cm3
ΔE_f = 1.21 eV/atom
space group = Pm-3m (221)



Computed, not measured: OsCO3 at its PBEsol-relaxed geometry at the SCAN level of DFT.

abc: 3.415 3.415 3.415
angles: 90.00 90.00 90.00
Positions (direct):
O  0.000  0.000  0.500
Os  0.500  0.500  0.500
O  0.000  0.500  0.000
C  0.000  0.000  0.000
O  0.500  0.000  0.000

Results
crystal system = cubic
formation energy from raw total energies = 1.530 eV per atom
density = 10.438 g/cm3
space group = Pm-3m (221)



Computed, not measured: OsPd2CO at its PBEsol-relaxed geometry at the SCAN level of DFT.

abc: 3.578 4.843 4.843
angles: 90.00 90.00 90.00
Each line ends with the local moment (μB).
Positions (direct):
Pd  0.000  0.000  0.500  -0.02
Pd  0.000  0.500  0.000  -0.02
Os  0.000  0.000  0.000  0.14
C  0.500  0.500  0.500  0.61
O  0.500  0.000  0.000  0.03

Results
crystal system = tetragonal
formation energy from raw total energies = 1.716 eV per atom
density = 8.529 g/cm3
space group = P4/mmm (123)



Computed, not measured: TlPCO2 at its PBEsol-relaxed geometry at the SCAN level of DFT.

abc: 3.771 3.771 3.919
angles: 90.00 90.00 90.00
Positions (direct):
C  0.000  0.000  0.000
Tl  0.500  0.500  0.500
O  0.500  0.000  0.000
P  0.000  0.000  0.500
O  0.000  0.500  0.000

Results
crystal system = tetragonal
formation energy from raw total energies = 0.969 eV per atom
density = 8.323 g/cm3
space group = P4/mmm (123)



Computed, not measured: ZrPCO2 at its PBEsol-relaxed geometry at the SCAN level of DFT.

abc: 3.740 3.740 3.756
angles: 90.00 90.00 90.00
Positions (direct):
P  0.000  0.000  0.500
Zr  0.500  0.500  0.500
C  0.000  0.000  0.000
O  0.000  0.500  0.000
O  0.500  0.000  0.000

Results
crystal system = tetragonal
formation energy from raw total energies = -0.104 eV per atom
density = 5.254 g/cm3
space group = P4/mmm (123)



Computed, not measured: PbCO2 at its PBEsol-relaxed geometry at the SCAN level of DFT.

abc: 4.010 4.010 4.010
angles: 60.00 60.00 60.00
Positions (direct):
O  0.250  0.250  0.250
O  0.750  0.750  0.750
C  0.000  0.000  0.000
Pb  0.500  0.500  0.500

Results
crystal system = cubic
formation energy from raw total energies = 1.307 eV per atom
density = 9.147 g/cm3
space group = Fm-3m (225)



Computed, not measured: PbC2O2 at its PBEsol-relaxed geometry at the SCAN level of DFT.

abc: 2.429 7.629 7.629
angles: 90.00 90.00 90.00
Positions (direct):
Pb  0.000  0.000  0.000
C  0.500  0.308  0.808
O  0.000  0.880  0.620
O  0.000  0.620  0.120
C  0.500  0.692  0.192
O  0.000  0.120  0.380
O  0.000  0.380  0.880
Pb  0.000  0.500  0.500
C  0.500  0.192  0.308
C  0.500  0.808  0.692

Results
crystal system = tetragonal
formation energy from raw total energies = 1.041 eV per atom
density = 6.184 g/cm3
space group = P4/mbm (127)



Computed, not measured: Pd2CO at its PBEsol-relaxed geometry at the SCAN level of DFT.

abc: 3.859 3.859 3.859
angles: 60.00 60.00 60.00
Positions (direct):
Pd  0.750  0.750  0.750
C  0.000  0.000  0.000
O  0.500  0.500  0.500
Pd  0.250  0.250  0.250

Results
crystal system = cubic
formation energy from raw total energies = 0.927 eV per atom
density = 9.839 g/cm3
space group = Fm-3m (225)
relative energy among the computed polymorphs = 524 meV/atom



Computed, not measured: Pd2CO at its PBEsol-relaxed geometry at the SCAN level of DFT.

abc: 4.556 4.556 5.933
angles: 112.58 112.58 90.00
Positions (direct):
C  0.500  0.500  0.000
C  0.750  0.250  0.500
O  0.000  0.000  0.000
Pd  0.625  0.586  0.750
Pd  0.414  0.875  0.250
O  0.250  0.750  0.500
Pd  0.836  0.375  0.250
Pd  0.125  0.164  0.750

Results
crystal system = tetragonal
formation energy from raw total energies = 0.403 eV per atom
density = 7.734 g/cm3
space group = I-42d (122)
relative energy among the computed polymorphs = 0 meV/atom



Computed, not measured: PdCO2 at its PBEsol-relaxed geometry at the SCAN level of DFT.

abc: 4.616 4.674 4.616
angles: 60.41 90.00 119.59
Positions (direct):
Pd  0.000  0.000  0.000
O  0.284  0.750  0.875
C  0.250  0.500  0.250
O  0.466  0.750  0.375
O  0.375  0.250  0.284
O  0.875  0.250  0.466
Pd  0.750  0.500  0.750
C  0.500  0.000  0.500

Results
crystal system = tetragonal
formation energy from raw total energies = 0.567 eV per atom
density = 7.009 g/cm3
space group = I-42d (122)



Computed, not measured: PrCO4 at its PBEsol-relaxed geometry at the SCAN level of DFT.

abc: 4.959 7.413 7.989
angles: 90.00 90.00 90.00
Each line ends with the local moment (μB).
Positions (direct):
O  0.750  0.297  0.683  0.00
O  0.524  0.643  0.623  0.02
Pr  0.250  0.354  0.674  -0.02
C  0.750  0.691  0.691  0.00
Pr  0.750  0.146  0.174  -0.02
O  0.976  0.143  0.877  0.02
C  0.250  0.809  0.191  0.00
O  0.250  0.703  0.317  0.00
O  0.750  0.460  0.084  0.77
O  0.750  0.797  0.817  0.00
Pr  0.250  0.854  0.826  -0.02
O  0.976  0.643  0.623  0.02
O  0.250  0.540  0.916  0.77
O  0.024  0.857  0.123  0.02
O  0.024  0.357  0.377  0.02
C  0.750  0.191  0.809  0.00
O  0.476  0.857  0.123  0.02
O  0.476  0.357  0.377  0.02
O  0.250  0.203  0.183  0.00
O  0.750  0.960  0.416  0.77
O  0.250  0.040  0.584  0.77
Pr  0.750  0.646  0.326  -0.02
C  0.250  0.309  0.309  0.00
O  0.524  0.143  0.877  0.02

Results
crystal system = orthorhombic
formation energy from raw total energies = -2.217 eV per atom
density = 4.906 g/cm3
space group = Pnma (62)



Computed, not measured: Rb2CO3 at its PBEsol-relaxed geometry at the SCAN level of DFT.

abc: 5.907 7.511 9.934
angles: 90.00 90.00 90.00
Positions (direct):
Rb  0.250  0.530  0.775
Rb  0.750  0.321  0.581
Rb  0.750  0.821  0.919
O  0.059  0.231  0.354
O  0.441  0.231  0.354
O  0.559  0.769  0.646
C  0.250  0.759  0.084
Rb  0.250  0.030  0.725
C  0.750  0.241  0.916
O  0.250  0.319  0.539
Rb  0.750  0.470  0.225
O  0.059  0.731  0.146
C  0.250  0.259  0.416
O  0.250  0.819  0.961
O  0.441  0.731  0.146
O  0.559  0.269  0.854
Rb  0.250  0.679  0.419
O  0.750  0.181  0.039
O  0.941  0.769  0.646
Rb  0.250  0.179  0.081
O  0.941  0.269  0.854
O  0.750  0.681  0.461
C  0.750  0.741  0.584
Rb  0.750  0.970  0.275

Results
crystal system = orthorhombic
formation energy from raw total energies = -1.897 eV per atom
density = 3.481 g/cm3
space group = Pnma (62)



Computed, not measured: Rb4CO4 at its PBEsol-relaxed geometry at the SCAN level of DFT.

abc: 5.610 5.610 5.610
angles: 89.40 89.40 89.40
Positions (direct):
Rb  0.519  0.079  0.079
O  0.943  0.645  0.645
Rb  0.515  0.515  0.515
O  0.940  0.940  0.940
Rb  0.079  0.079  0.519
Rb  0.079  0.519  0.079
O  0.645  0.645  0.943
O  0.645  0.943  0.645
C  0.793  0.793  0.793

Results
crystal system = trigonal
formation energy from raw total energies = -1.369 eV per atom
density = 3.931 g/cm3
space group = R3m (160)
relative energy among the computed polymorphs = 78 meV/atom



Computed, not measured: Rb4CO4 at its PBEsol-relaxed geometry at the SCAN level of DFT.

abc: 5.799 6.049 6.049
angles: 112.30 99.24 99.24
Positions (direct):
C  0.743  0.358  0.358
O  0.739  0.143  0.143
O  0.623  0.285  0.516
Rb  0.895  0.967  0.488
Rb  0.450  0.699  0.699
O  0.623  0.516  0.285
Rb  0.241  0.154  0.154
Rb  0.895  0.488  0.967
O  0.987  0.484  0.484

Results
crystal system = monoclinic
formation energy from raw total energies = -1.411 eV per atom
density = 3.692 g/cm3
space group = Cm (8)
relative energy among the computed polymorphs = 36 meV/atom